Density functional theory data (PBE+U) for crystalline CrOsNO2 at its relaxed geometry.

Computed properties:
As for the volume: 59 Å³/f.u. For the density of states at the Fermi level, the calculation gives 3.867 states/eV per cell. The final energy is -7.564 eV per atom.

abc: 3.905 3.905 3.843
angles: 90.00 90.00 90.00
Space group P4/mmm (No. 123)
One atom of each set of equivalent atoms:
Cr 0.000 0.000 0.000
Os 0.500 0.500 0.500
N 0.500 0.500 0.000
O 0.000 0.500 0.500